[1]
{
  "formula": "AcHF2",
  "functional": "GGA-PBE",
  "state": "optimized geometry",
  "lattice": [[-3.148, -2.811, 0.652], [0.923, -4.093, 0.795], [-0.646, -1.616, 3.900]],
  "species": ["H", "Ac", "F", "F"],
  "frac_coords": [[0.500, 0.500, 0.500], [0.000, 0.000, 0.000], [0.250, 0.250, 0.250], [0.750, 0.750, 0.750]],
  "e_above_lowest_polymorph_mev_per_atom": 68,
  "density_g_cm3": 8.02,
  "total_magnetization_mub_per_fu": 0.0
}

=====

[2]
{
  "formula": "Cr2ReTc",
  "functional": "GGA-PBE",
  "state": "optimized geometry",
  "lattice": [[-2.741, 0.307, 0.957], [-0.870, -2.115, -1.815], [1.069, -4.231, 4.418]],
  "species": ["Re", "Tc", "Cr", "Cr"],
  "frac_coords": [[0.000, 0.000, 0.487], [0.500, 0.500, 0.763], [0.000, 0.000, 0.025], [0.500, 0.500, 0.224]],
  "formation_energy_ev_per_atom": 0.038,
  "density_g_cm3": 12.18,
  "total_magnetization_mub_per_fu": 0.0
}

=====

[3]
{
  "formula": "KTi2Mo",
  "functional": "GGA-PBE",
  "state": "optimized geometry",
  "lattice": [[-5.869, 0.644, 3.510], [2.045, -4.930, 4.324], [0.696, 2.084, 7.503]],
  "species": ["Mo", "Mo", "K", "K", "Ti", "Ti", "Ti", "Ti"],
  "frac_coords": [[0.000, 0.000, 0.000], [0.750, 0.250, 0.500], [0.500, 0.500, 0.000], [0.250, 0.750, 0.500], [0.876, 0.125, 0.250], [0.874, 0.625, 0.250], [0.375, 0.124, 0.750], [0.875, 0.126, 0.750]],
  "e_above_lowest_polymorph_mev_per_atom": 231,
  "formation_energy_ev_per_atom": 1.354,
  "density_g_cm3": 2.65,
  "total_magnetization_mub_per_fu": 1.0
}

=====

[4]
{
  "formula": "EuIn2S4",
  "functional": "GGA-PBE",
  "state": "optimized geometry",
  "lattice": [[3.307, -5.204, 0.000], [3.307, 5.204, 0.000], [0.000, 0.000, 10.528]],
  "species": ["Eu", "Eu", "In", "In", "In", "In", "S", "S", "S", "S", "S", "S", "S", "S"],
  "frac_coords": [[0.000, 0.000, 0.750], [0.000, 0.000, 0.250], [0.276, 0.717, 0.000], [0.724, 0.283, 0.000], [0.283, 0.724, 0.500], [0.717, 0.276, 0.500], [0.285, 0.140, 0.000], [0.715, 0.860, 0.000], [0.860, 0.715, 0.500], [0.140, 0.285, 0.500], [0.500, 0.000, 0.679], [0.000, 0.500, 0.821], [0.500, 0.000, 0.321], [0.000, 0.500, 0.179]],
  "density_g_cm3": 4.67,
  "total_magnetization_mub_per_fu": 7.0,
  "formation_energy_uncorrected_ev_per_atom": -1.008
}